Computed, not measured: crystalline ZnPdSe2Br at its relaxed geometry at the PBE-GGA level of DFT.

Cell lengths 4.9814, 4.9814, 5.0987 Å; angles 90.00, 90.00, 90.00 degrees
With the nearest neighbours (Å) after each atom.
Atoms (fractional coordinates):
Pd1 0.0000 0.0000 0.0000  4 Se 2.49, 2 Br 2.55
Se1 0.0000 0.5000 0.0000  2 Pd 2.49
Se2 0.5000 0.0000 0.0000  2 Pd 2.49
Zn1 0.5000 0.5000 0.5000  4 Br 3.52, 8 Se 3.56
Br1 0.0000 0.0000 0.5000  2 Pd 2.55

Computed properties:
As for the space-group type: P4/mmm, No. 123. The value obtained for the raw formation energy is 0.3128 eV per atom. The energy relative to the lowest polymorph listed for this composition is 0 meV per atom.

=====

Computed, not measured: crystalline ZnPdSeBr2 at its relaxed geometry at the PBE-GGA level of DFT.

Cell lengths 5.1175, 5.1175, 5.0089 Å; angles 90.00, 90.00, 90.00 degrees
With the nearest neighbours (Å) after each atom.
Atoms (fractional coordinates):
Se1 0.0000 0.0000 0.5000  2 Zn 2.50
Pd1 0.5000 0.5000 0.5000  8 Br 3.58, 4 Se 3.62
Br1 0.0000 0.5000 0.0000  2 Zn 2.56
Br2 0.5000 0.0000 0.0000  2 Zn 2.56
Zn1 0.0000 0.0000 0.0000  2 Se 2.50, 4 Br 2.56

Computed properties:
As for the space-group type: P4/mmm, No. 123. The value obtained for the raw formation energy is 0.3263 eV per atom. The energy relative to the lowest polymorph listed for this composition is 162 meV per atom.

=====

Computed, not measured: crystalline ZrPdSe2Br at its relaxed geometry at the PBE-GGA level of DFT.

Cell lengths 5.2005, 5.2005, 5.3156 Å; angles 90.00, 90.00, 90.00 degrees
With the nearest neighbours (Å) after each atom.
Atoms (fractional coordinates):
Pd1 0.5000 0.5000 0.5000  4 Br 3.68, 8 Se 3.72
Zr1 0.0000 0.0000 0.0000  4 Se 2.60, 2 Br 2.66
Se1 0.0000 0.5000 0.0000  2 Zr 2.60
Se2 0.5000 0.0000 0.0000  2 Zr 2.60
Br1 0.0000 0.0000 0.5000  2 Zr 2.66

Computed properties:
As for the space-group type: P4/mmm, No. 123. The value obtained for the raw formation energy is -0.2127 eV per atom. The energy relative to the lowest polymorph listed for this composition is 0 meV per atom.

=====

Computed, not measured: crystalline ZrPdSe2Br at its relaxed geometry at the PBE-GGA level of DFT.

Cell lengths 4.9579, 4.9579, 4.8735 Å; angles 90.00, 90.00, 90.00 degrees
With the nearest neighbours (Å) after each atom.
Atoms (fractional coordinates):
Zr1 0.5000 0.5000 0.5000  8 Se 3.48, 4 Br 3.51
Br1 0.0000 0.0000 0.5000  2 Pd 2.44
Se1 0.5000 0.0000 0.0000  2 Pd 2.48
Se2 0.0000 0.5000 0.0000  2 Pd 2.48
Pd1 0.0000 0.0000 0.0000  2 Br 2.44, 4 Se 2.48

Computed properties:
As for the space-group type: P4/mmm, No. 123. The value obtained for the raw formation energy is 0.1384 eV per atom. The energy relative to the lowest polymorph listed for this composition is 351 meV per atom.

=====

| no. | energy (eV per atom) |
| --- | --- |
| 1 | -2.71 |
| 2 | -2.33 |
| 3 | -4.69 |
| 4 | -4.34 |